Material: MgMnOsO6
Method: DFT, PBE+U
State: optimized geometry

The calculation puts the density at 6.10 g cm⁻³. The calculation puts the total energy at -7.00 eV per atom.

The structure belongs to space group P-31c (No. 163); the cell edges are 5.0394, 5.0394 and 9.0501 Å and the angles 90.00°, 90.00° and 120.00°. The asymmetric unit holds Mg at (0.0000, 0.0000, 0.0000), Mn at (0.3333, 0.6667, 0.2500), Os at (0.3333, 0.6667, 0.7500) and O at (0.0035, 0.3540, 0.6342).